Entry 1:
Compound: GeSbF3
Source: the Alexandria database
Functional: GGA-PBE
Structure: optimized geometry

a = 4.562 Å, b = 4.562 Å, c = 4.562 Å
α = 90.00°, β = 90.00°, γ = 90.00°
Space group Pm-3m (No. 221)
Asymmetric unit:
Ge 0.000 0.000 0.000 (multiplicity 1)
Sb 0.500 0.500 0.500 (multiplicity 1)
F 0.000 0.500 0.500 (multiplicity 3)

Output
- magnetic moment (μB per formula unit) = 1.639
- raw formation energy (meV per atom) = -1133.8
- mass density (g/cm³) = 4.4

---

Entry 2:
Compound: GeSb2F
Source: the Alexandria database
Functional: GGA-PBE
Structure: optimized geometry

a = 6.576 Å, b = 6.576 Å, c = 9.867 Å
α = 90.00°, β = 90.00°, γ = 90.00°
Space group I-42d (No. 122)
Asymmetric unit:
Ge 0.000 0.000 0.000 (multiplicity 4)
Sb 0.227 0.250 0.625 (multiplicity 8)
F 0.000 0.000 0.500 (multiplicity 4)

Output
- magnetic moment (μB per formula unit) = 0.000
- raw formation energy (meV per atom) = -253.7
- mass density (g/cm³) = 5.2

---

> The lowest magnetic moment belongs to which entry?

GeSb2F